1.
{"formula": "CoAgBiN2", "functional": "PBE", "state": "optimized geometry", "raw_formation_energy_ev_per_atom": 1.907, "cell": [[4.0621, 0.0000, 0.0000], [0.0000, 4.0621, 0.0000], [0.0000, 0.0000, 5.0256]], "species": ["Co", "Ag", "Bi", "N", "N"], "frac_coords": [[0.0000, 0.0000, 0.0000], [0.0000, 0.0000, 0.5000], [0.5000, 0.5000, 0.0000], [0.0000, 0.5000, 0.5000], [0.5000, 0.0000, 0.5000]]}

=====

2.
{"formula": "Y2FeMo", "functional": "PBE", "state": "optimized geometry", "ef_ev_per_atom": 0.45, "cell": [[0.0000, 3.4924, 3.4924], [3.4924, 0.0000, 3.4924], [3.4924, 3.4924, 0.0000]], "species": ["Y", "Y", "Fe", "Mo"], "frac_coords": [[0.2500, 0.2500, 0.2500], [0.7500, 0.7500, 0.7500], [0.0000, 0.0000, 0.0000], [0.5000, 0.5000, 0.5000]]}

=====

3.
{"formula": "MgTaRu2", "functional": "PBE", "state": "optimized geometry", "ef_ev_per_atom": 0.02, "cell": [[2.8336, 0.0000, 0.0000], [0.0000, 4.2101, 0.0000], [0.0000, 0.0000, 5.2722]], "species": ["Mg", "Ta", "Ru", "Ru"], "frac_coords": [[0.0000, 0.0000, 0.0000], [0.5000, 0.5000, 0.7104], [0.0000, 0.0000, 0.4894], [0.5000, 0.5000, 0.2084]]}

=====

4.
{"formula": "Nd2DyHoS6", "functional": "PBE", "state": "optimized geometry", "raw_formation_energy_ev_per_atom": -2.038, "cell": [[3.5258, 2.0356, 6.1995], [-3.5258, 2.0356, 6.1995], [0.0000, -4.0712, 6.1995]], "species": ["Nd", "Nd", "Dy", "Ho", "S", "S", "S", "S", "S", "S"], "frac_coords": [[0.0000, 0.0000, 0.0000], [0.4996, 0.4996, 0.4996], [0.2057, 0.2057, 0.2057], [0.7053, 0.7053, 0.7053], [0.0861, 0.4163, 0.8213], [0.3219, 0.9144, 0.5877], [0.4163, 0.8213, 0.0861], [0.5877, 0.3219, 0.9144], [0.8213, 0.0861, 0.4163], [0.9144, 0.5877, 0.3219]]}

=====

Electronic total energy for every record listed, in sequence, given in eV/atom: -4.19, -7.60, -7.98, -6.39.
Fermi-level density of states for every record listed, in sequence, given in states/eV/atom: 0.885, 1.823, 1.085, 0.000.